Entry from OQMD: an optimized crystal structure of Th3Ni3Bi4 (PBE).

abc: 8.5101 8.5101 8.5101
angles: 109.47 109.47 109.47
With the nearest neighbours (Å) after each atom.
Positions (direct):
Th 0.1250 0.7500 0.8750  4 Ni 3.01
Th 0.8750 0.1250 0.7500  4 Ni 3.01
Th 0.3750 0.2500 0.6250  4 Ni 3.01
Th 0.6250 0.3750 0.2500  4 Ni 3.01
Th 0.7500 0.8750 0.1250  4 Ni 3.01
Th 0.2500 0.6250 0.3750  4 Ni 3.01
Bi 0.5000 0.0000 0.8343  3 Ni 2.74
Bi 0.0000 0.3343 0.5000  3 Ni 2.74
Bi 0.3343 0.5000 0.0000  3 Ni 2.74
Bi 0.0000 0.8343 0.5000  3 Ni 2.74
Bi 0.5000 0.0000 0.3343  3 Ni 2.74
Bi 0.8343 0.5000 0.0000  3 Ni 2.74
Bi 0.6657 0.6657 0.6657  3 Ni 2.74
Bi 0.1657 0.1657 0.1657  3 Ni 2.74
Ni 0.8750 0.2500 0.1250  4 Bi 2.74, 4 Th 3.01
Ni 0.2500 0.1250 0.8750  4 Bi 2.74, 4 Th 3.01
Ni 0.1250 0.8750 0.2500  4 Bi 2.74, 4 Th 3.01
Ni 0.7500 0.3750 0.6250  4 Bi 2.74, 4 Th 3.01
Ni 0.6250 0.7500 0.3750  4 Bi 2.74, 4 Th 3.01
Ni 0.3750 0.6250 0.7500  4 Bi 2.74, 4 Th 3.01

Values from the calculation:
symmetry: No. 220
DFT total energy: -6.18 eV per atom